! HfFeI2O | the Alexandria database | PBE with a Hubbard U | relaxed; values from VASP
! symmetry	P4/mmm
! electronic total energy	-5.413	eV/atom
! distance to the lowest polymorph of the same formula	0.0	meV per atom
&SYSTEM
  ibrav = 0, nat = 5, ntyp = 4
/
ATOMIC_SPECIES
I 126.90 I.upf
O 16.00 O.upf
Fe 55.84 Fe.upf
Hf 178.49 Hf.upf
CELL_PARAMETERS angstrom
5.8839 0.0000 0.0000
0.0000 5.8839 0.0000
0.0000 0.0000 3.9685
ATOMIC_POSITIONS angstrom
I 0.0000 2.9419 0.0000
O 0.0000 0.0000 1.9843
I 2.9419 0.0000 0.0000
Fe 2.9419 2.9419 1.9843
Hf 0.0000 0.0000 0.0000